# 1
{
  "formula": "Ce3Pr2Ir2",
  "functional": "PBE",
  "state": "optimized geometry",
  "ef_kcal_per_mol_atoms": -11.014,
  "energy_ev_per_atom": -6.92,
  "volume_a3_per_atom": 27.0,
  "cell": [[3.7667, 0.0000, 1.0585], [1.4047, 5.7692, 2.2325], [-0.3669, -0.1381, 8.5367]],
  "species": ["Ce", "Ce", "Ce", "Pr", "Pr", "Ir", "Ir"],
  "fractional_positions": [[0.6198, 0.2095, 0.5508], [0.5000, 0.0000, 0.0000], [0.3802, 0.7905, 0.4492], [0.8414, 0.5092, 0.8081], [0.1586, 0.4908, 0.1919], [0.8590, 0.0441, 0.2379], [0.1410, 0.9559, 0.7621]]
}

# 2
{
  "formula": "TbEr2Zn5",
  "functional": "PBE",
  "state": "optimized geometry",
  "ef_kcal_per_mol_atoms": -7.309,
  "energy_ev_per_atom": -2.83,
  "volume_a3_per_atom": 20.2,
  "cell": [[-0.4378, 3.7840, -2.9313], [-2.5738, -2.6679, -3.0596], [-4.3715, 1.3220, 6.3003]],
  "species": ["Zn", "Zn", "Zn", "Zn", "Zn", "Tb", "Er", "Er"],
  "fractional_positions": [[0.8830, 0.3830, 0.7659], [0.5000, 0.5000, 0.0000], [0.1170, 0.6170, 0.2341], [0.3830, 0.8830, 0.7659], [0.6170, 0.1170, 0.2341], [0.0000, 0.0000, 0.0000], [0.7338, 0.7338, 0.4675], [0.2662, 0.2662, 0.5325]]
}

# 3
{
  "formula": "LiTaP2O",
  "functional": "PBE",
  "state": "optimized geometry",
  "e_above_lowest_polymorph_ev_per_fu": 1.41,
  "energy_ev_per_atom": -6.24,
  "volume_a3_per_atom": 12.6,
  "cell": [[4.2841, 0.0000, 0.0000], [0.0000, 3.4272, 0.0000], [0.0000, 0.0000, 4.2841]],
  "species": ["P", "P", "O", "Ta", "Li"],
  "fractional_positions": [[0.0000, 0.0000, 0.5000], [0.5000, 0.0000, 0.0000], [0.0000, 0.0000, 0.0000], [0.5000, 0.5000, 0.5000], [0.0000, 0.5000, 0.0000]]
}

# 4
{
  "formula": "NdNpRu3",
  "functional": "PBE",
  "state": "optimized geometry",
  "ef_kcal_per_mol_atoms": -0.246,
  "energy_ev_per_atom": -9.12,
  "volume_a3_per_atom": 19.5,
  "cell": [[5.1419, 0.0000, -2.8428], [-2.4256, 7.3504, -4.3873], [0.1293, -1.5785, 6.3054]],
  "species": ["Ru", "Ru", "Ru", "Ru", "Ru", "Ru", "Np", "Np", "Nd", "Nd"],
  "fractional_positions": [[0.8099, 0.3099, 0.1199], [0.2500, 0.9301, 0.5000], [0.1901, 0.6901, 0.8801], [0.3099, 0.3099, 0.1199], [0.7500, 0.0699, 0.5000], [0.6901, 0.6901, 0.8801], [0.5000, 0.0000, 0.0000], [0.0000, 0.5000, 0.0000], [0.7500, 0.7499, 0.5000], [0.2500, 0.2501, 0.5000]]
}

| no. | total magnetic moment (μB/f.u.) |
| --- | --- |
| 1 | 0.47 |
| 2 | 0.00 |
| 3 | 0.31 |
| 4 | 1.60 |